DFT (PBE-GGA) results for an optimized crystal structure of LiThTcSb.

Summary:
**Energy relative to the elements, uncorrected**: -0.306 eV per atom
**Space-group type**: F-43m (216)
**Crystal system**: cubic

Structure (extended XYZ):
```
4
Lattice="0.0000 3.4193 3.4193 3.4193 0.0000 3.4193 3.4193 3.4193 0.0000" Properties=species:S:1:pos:R:3 pbc="T T T"
Li 0.0000 0.0000 0.0000
Th 5.1290 5.1290 5.1290
Tc 3.4193 3.4193 3.4193
Sb 1.7097 1.7097 1.7097
```